CuRu2Se: optimized geometry, PBE.

Values from the calculation:
- VASP energy (eV per atom) = -6.222
- volume (Å³ per cell) = 115
- M_tot (μB per cell) = 0.00

abc: 8.0190 2.9338 4.9684
angles: 90.00 100.85 90.00
Space group C2/m (No. 12)
One atom of each set of equivalent atoms:
Cu1 0.0000 0.0000 0.0000 (multiplicity 2)
Ru1 0.2481 0.0000 0.7405 (multiplicity 4)
Se1 0.0000 0.5000 0.5000 (multiplicity 2)